DFT (PBE-GGA) results for a relaxed structure of TaBeW2.

The structure in POSCAR format:
```
TaBeW2
1.0
2.734 0.012 0.000
-0.685 2.647 0.000
0.000 0.000 8.186
Be W Ta
1 2 1
Direct
0.500 0.500 0.250 Be
0.000 0.000 0.036 W
0.000 0.000 0.464 W
0.500 0.500 0.750 Ta
```

Values from the calculation:
* total DFT energy (no corrections): -10.30 eV per atom
* theoretical density: 15.611 g/cm3
* symmetry: Cmmm
* crystal system: orthorhombic
* M_tot: 0.00 μB/f.u.
* DOS(E_F): 1.947 states/eV/cell